Record 1
Computed, not measured: a relaxed Cs2K3InBr6 crystal at the PBE level of DFT.

Cell lengths 21.399, 4.882, 9.839 Å; angles 90.00, 103.74, 90.00 degrees
Space group C2/m (No. 12)
Inequivalent atoms, fractional coordinates:
Cs 0.166 0.000 0.328 x4
K 0.000 0.500 0.500 x2
K 0.165 0.000 0.834 x4
In 0.000 0.500 0.000 x2
Br 0.005 0.000 0.755 x4
Br 0.160 0.500 0.597 x4
Br 0.166 0.500 0.063 x4

Output
Calculated total energy   -3.047 eV per atom
Density   3250 kg/m3
Energy relative to the elements, uncorrected   -1.566 eV/atom

---

Record 2
Computed, not measured: a relaxed AgRu2Au crystal at the PBE level of DFT.

Cell lengths 2.809, 4.739, 9.773 Å; angles 90.00, 90.00, 90.00 degrees
Space group Cmm2 (No. 35)
Inequivalent atoms, fractional coordinates:
Ag 0.000 0.000 0.000 x2
Ru 0.000 0.000 0.474 x2
Ru 0.000 0.500 0.257 x2
Au 0.000 0.500 0.735 x2

Output
ΔE to the lowest computed polymorph   192.3 meV/atom
Calculated total energy   -5.764 eV per atom
Energy of formation   406 meV per atom
Density   12941 kg/m3

---

Record 3
Computed, not measured: a relaxed KMn2In crystal at the PBE level of DFT.

Cell lengths 3.121, 4.061, 7.972 Å; angles 90.00, 90.00, 90.00 degrees
Space group Pmmm (No. 47)
Inequivalent atoms, fractional coordinates:
K 0.000 0.000 0.000 x1
Mn 0.500 0.500 0.337 x2
In 0.000 0.000 0.500 x1

Output
Calculated total energy   -4.916 eV per atom
Energy of formation   628 meV per atom
Density   4336 kg/m3

---

Record 4
Computed, not measured: a relaxed Sm15YHo4 crystal at the PBE level of DFT.

Cell lengths 5.103, 5.103, 25.445 Å; angles 90.00, 90.00, 90.00 degrees
Space group P4/mmm (No. 123)
Inequivalent atoms, fractional coordinates:
Sm 0.000 0.000 0.000 x1
Sm 0.000 0.000 0.200 x2
Sm 0.000 0.000 0.400 x2
Sm 0.000 0.500 0.101 x4
Sm 0.000 0.500 0.300 x4
Sm 0.000 0.500 0.500 x2
Y 0.500 0.500 0.000 x1
Ho 0.500 0.500 0.200 x2
Ho 0.500 0.500 0.400 x2

Output
Calculated total energy   -4.763 eV per atom
Energy of formation   15 meV per atom
Density   7530 kg/m3

---

Record 5
Computed, not measured: a relaxed InIrS3 crystal at the PBE level of DFT.

Cell lengths 4.924, 4.924, 4.924 Å; angles 90.00, 90.00, 90.00 degrees
Space group Pm-3m (No. 221)
Inequivalent atoms, fractional coordinates:
In 0.000 0.000 0.000 x1
Ir 0.500 0.500 0.500 x1
S 0.000 0.000 0.500 x3

Output
Calculated total energy   -3.388 eV per atom
Density   5610 kg/m3
Energy relative to the elements, uncorrected   1.408 eV/atom

---

Record 6
Computed, not measured: a relaxed AcPr8Er4 crystal at the PBE level of DFT.

Cell lengths 7.3432, 7.3432, 30.0522 Å; angles 90.00, 90.00, 120.00 degrees
Space group R-3m (No. 166, hexagonal axes)
Inequivalent atoms, fractional coordinates:
Ac 0.0000 0.0000 0.0000 x3
Pr 0.0000 0.0000 0.2887 x6
Pr 0.0336 0.5168 0.2595 x18
Er 0.0000 0.0000 0.5000 x3
Er 0.0000 0.5000 0.5000 x9

Output
Calculated total energy   -4.430 eV per atom
Energy of formation   231 meV per atom
Density   7182 kg/m3

---

Record 7
Computed, not measured: a relaxed CaNb2Cr crystal at the PBE level of DFT.

Cell lengths 6.616, 6.616, 6.616 Å; angles 90.00, 90.00, 90.00 degrees
Space group Fm-3m (No. 225)
Inequivalent atoms, fractional coordinates:
Ca 0.000 0.000 0.000 x4
Nb 0.250 0.250 0.250 x8
Cr 0.000 0.000 0.500 x4

Output
ΔE to the lowest computed polymorph   0.0 meV/atom
Calculated total energy   -7.164 eV per atom
Energy of formation   777 meV per atom
Density   6375 kg/m3

---

Record 8
Computed, not measured: a relaxed Zr2Si2Os crystal at the PBE level of DFT.

Cell lengths 3.885, 5.266, 8.268 Å; angles 90.00, 90.00, 90.00 degrees
Space group Immm (No. 71)
Inequivalent atoms, fractional coordinates:
Zr 0.000 0.000 0.207 x4
Si 0.000 0.272 0.500 x4
Os 0.000 0.500 0.000 x2

Output
Calculated total energy   -8.692 eV per atom
Density   8420 kg/m3
Energy relative to the elements, uncorrected   -0.857 eV/atom

---

- What is the density in the eighth record?
  8420 kg/m3

---

Please write out number 3 again, unchanged.
Computed, not measured: a relaxed KMn2In crystal at the PBE level of DFT.

Cell lengths 3.121, 4.061, 7.972 Å; angles 90.00, 90.00, 90.00 degrees
Space group Pmmm (No. 47)
Inequivalent atoms, fractional coordinates:
K 0.000 0.000 0.000 x1
Mn 0.500 0.500 0.337 x2
In 0.000 0.000 0.500 x1

Output
Calculated total energy   -4.916 eV per atom
Energy of formation   628 meV per atom
Density   4336 kg/m3

---

- Which value of density does entry 4 give?
  7530 kg/m3